1.
First-principles (PBE) data for an optimized crystal structure of Mg2MnZn, as listed in the Alexandria database.

Unit cell a=3.2496 b=3.4639 c=6.2361 alpha=90.00 beta=90.18 gamma=90.00
Closest atoms and distances in Å follow each position.
Space group P2/m (No. 10)
Unique sites:
Mg (0.9998, 0.0000, 0.2463) x2  4 Mn 2.83, 4 Zn 2.85-2.86, 2 Mg 3.07-3.16
Mn (0.5000, 0.5000, 0.0000) x1  8 Mg 2.83, 2 Zn 3.12
Zn (0.5000, 0.5000, 0.5000) x1  8 Mg 2.85-2.86, 2 Mn 3.12

Values from the calculation:
D(E_F) ... 0.5723 states/eV per atom
V ... 17.5 Å³ per atom



2.
First-principles (PBE) data for an optimized crystal structure of MgMn2Zn, as listed in the Alexandria database.

Unit cell a=7.1186 b=7.1186 c=5.3991 alpha=90.00 beta=90.00 gamma=90.00
Closest atoms and distances in Å follow each position.
Space group I-42d (No. 122)
Unique sites:
Mg (0.0000, 0.0000, 0.0000) x4  2 Zn 2.70, 4 Mn 2.75
Mn (0.2202, 0.2500, 0.6250) x8  2 Zn 2.47, 2 Mn 2.73, 2 Mg 2.75
Zn (0.0000, 0.0000, 0.5000) x4  4 Mn 2.47, 2 Mg 2.70

Values from the calculation:
D(E_F) ... 0.8411 states/eV per atom
V ... 17.1 Å³ per atom



3.
First-principles (PBE) data for an optimized crystal structure of MgMn2Zn, as listed in the Alexandria database.

Unit cell a=3.9687 b=3.9687 c=3.7841 alpha=90.00 beta=90.00 gamma=90.00
Closest atoms and distances in Å follow each position.
Space group P4/mmm (No. 123)
Unique sites:
Mg (0.0000, 0.0000, 0.0000) x1  8 Mn 2.74, 4 Zn 2.81
Mn (0.0000, 0.5000, 0.5000) x2  4 Mg 2.74, 4 Zn 2.74, 4 Mn 2.81
Zn (0.5000, 0.5000, 0.0000) x1  8 Mn 2.74, 4 Mg 2.81

Values from the calculation:
D(E_F) ... 0.8888 states/eV per atom
V ... 14.9 Å³ per atom



4.
First-principles (PBE) data for an optimized crystal structure of Mg2MnZn12, as listed in the Alexandria database.

Unit cell a=5.2171 b=5.2171 c=18.7504 alpha=90.00 beta=90.00 gamma=90.00
Closest atoms and distances in Å follow each position.
Space group P4/nbm (No. 125, origin choice 2)
Unique sites:
Mg (0.2500, 0.7500, 0.2340) x4  8 Zn 2.85-2.94
Mn (0.2500, 0.7500, 0.5000) x2  8 Zn 2.64-2.65
Zn (0.0007, 0.5007, 0.3988) x8  6 Zn 2.61-2.67, 2 Mn 2.64-2.65
Zn (0.0749, 0.5749, 0.0640) x8  8 Zn 2.58-2.72
Zn (0.2500, 0.2500, 0.1618) x4  5 Zn 2.51-2.66
Zn (0.2500, 0.2500, 0.2956) x4  5 Zn 2.51-2.67

Values from the calculation:
D(E_F) ... 0.3049 states/eV per atom
V ... 17.0 Å³ per atom



5.
First-principles (PBE) data for an optimized crystal structure of MgMn2Zn, as listed in the Alexandria database.

Unit cell a=2.8814 b=2.8814 c=26.7638 alpha=90.00 beta=90.00 gamma=120.00
Closest atoms and distances in Å follow each position.
Space group R-3m (No. 166, hexagonal axes)
Unique sites:
Mg (0.0000, 0.0000, 0.0000) x3  6 Mg 2.88, 6 Mn 2.88
Mn (0.0000, 0.0000, 0.2453) x6  3 Zn 2.68, 6 Mn 2.88, 3 Mg 2.88
Zn (0.0000, 0.0000, 0.5000) x3  6 Mn 2.68, 6 Zn 2.88

Values from the calculation:
D(E_F) ... 0.4739 states/eV per atom
V ... 16.0 Å³ per atom



6.
First-principles (PBE) data for an optimized crystal structure of MgMn2Zn, as listed in the Alexandria database.

Unit cell a=2.6699 b=2.6699 c=26.4578 alpha=90.00 beta=90.00 gamma=120.00
Closest atoms and distances in Å follow each position.
Space group R3m (No. 160, hexagonal axes)
Unique sites:
Mg (0.0000, 0.0000, 0.0000) x3  6 Mg 2.67, 3 Mn 2.76
Mn (0.0000, 0.0000, 0.4862) x3  3 Mn 2.34
Mn (0.0000, 0.0000, 0.7530) x3  3 Mn 2.34
Zn (0.0000, 0.0000, 0.2346) x3  3 Mn 2.66, 6 Zn 2.67

Values from the calculation:
D(E_F) ... 0.9583 states/eV per atom
V ... 13.6 Å³ per atom



7.
First-principles (PBE) data for an optimized crystal structure of Mg2MnZn, as listed in the Alexandria database.

Unit cell a=3.2181 b=3.2181 c=6.8950 alpha=90.00 beta=90.00 gamma=90.00
Closest atoms and distances in Å follow each position.
Space group P4mm (No. 99)
Unique sites:
Mg (0.0000, 0.0000, 0.0000) x1  4 Zn 2.86, 1 Mn 3.06, 4 Mg 3.13
Mg (0.5000, 0.5000, 0.3121) x1  4 Mn 2.83, 1 Zn 3.01, 4 Mg 3.13
Mn (0.0000, 0.0000, 0.5563) x1  4 Zn 2.63, 4 Mg 2.83
Zn (0.5000, 0.5000, 0.7481) x1  4 Mn 2.63, 4 Mg 2.86

Values from the calculation:
D(E_F) ... 0.5006 states/eV per atom
V ... 17.9 Å³ per atom



8.
First-principles (PBE) data for an optimized crystal structure of MgMn2Zn, as listed in the Alexandria database.

Unit cell a=5.6152 b=7.5022 c=2.8487 alpha=90.00 beta=90.00 gamma=90.00
Closest atoms and distances in Å follow each position.
Space group Cmmm (No. 65)
Unique sites:
Mg (0.0000, 0.0000, 0.0000) x2  8 Mn 2.74, 2 Zn 2.81, 2 Mg 2.85
Mn (0.2500, 0.2500, 0.5000) x4  4 Mg 2.74, 4 Zn 2.74, 4 Mn 2.81-2.85
Zn (0.0000, 0.5000, 0.0000) x2  8 Mn 2.74, 2 Mg 2.81, 2 Zn 2.85

Values from the calculation:
D(E_F) ... 0.7039 states/eV per atom
V ... 15.0 Å³ per atom



Which formation energy belongs to each record? In order, 0.47; 2.13; 0.71; 1.20; 1.07; 1.03; 0.35; 0.84 eV/f.u..
Which total moment belongs to each record? In order, 3.60; 7.02; 6.28; 3.03; 7.10; 0.00; 3.51; 6.29 μB per formula unit.